(1)
# PBE Sr6Ge2IBr3, relaxed
# - V (Å³/atom) = 36.49
# - calculated density (Mg/m³) = 3.9
# - electronic total energy (eV per atom) = -3.398
# - raw formation energy (meV/atom) = -1240
data_Sr6Ge2IBr3
_cell_length_a 4.688
_cell_length_b 9.447
_cell_length_c 10.356
_cell_angle_alpha 101.14
_cell_angle_beta 103.08
_cell_angle_gamma 90.00
_space_group_name_H-M_alt 'P 1'
_space_group_IT_number 1
loop_
_space_group_symop_operation_xyz
'x,y,z'
loop_
_atom_site_label
_atom_site_fract_x
_atom_site_fract_y
_atom_site_fract_z
Br1 0.846 0.166 0.693
Br2 0.500 0.500 0.000
Br3 0.154 0.834 0.307
Sr1 0.677 0.556 0.353
Sr2 0.323 0.444 0.647
Sr3 0.983 0.731 0.966
Sr4 0.017 0.269 0.034
Sr5 0.677 0.124 0.354
Sr6 0.323 0.876 0.646
Ge1 0.835 0.673 0.669
Ge2 0.165 0.327 0.331
I1 0.500 0.000 0.000


(2)
# PBE Sr2Ga4Rh3, relaxed
# - V (Å³/atom) = 20.44
# - calculated density (Mg/m³) = 6.9
# - electronic total energy (eV per atom) = -4.686
data_Sr2Ga4Rh3
_cell_length_a 5.748
_cell_length_b 5.748
_cell_length_c 7.053
_cell_angle_alpha 101.65
_cell_angle_beta 101.65
_cell_angle_gamma 120.28
_space_group_name_H-M_alt 'P 1'
_space_group_IT_number 1
loop_
_space_group_symop_operation_xyz
'x,y,z'
loop_
_atom_site_label
_atom_site_fract_x
_atom_site_fract_y
_atom_site_fract_z
Rh1 0.500 0.000 0.000
Rh2 0.000 0.000 0.000
Rh3 0.000 0.500 0.000
Ga1 0.975 0.328 0.302
Ga2 0.025 0.672 0.698
Ga3 0.328 0.975 0.302
Ga4 0.672 0.025 0.698
Sr1 0.370 0.370 0.741
Sr2 0.630 0.630 0.259


(3)
# PBE CoNi2Os, relaxed
# - energy relative to the lowest polymorph listed for this composition (kJ/mol of formula units) = 8
# - V (Å³/atom) = 11.72
# - calculated density (Mg/m³) = 13.0
# - electronic total energy (eV per atom) = -7.355
data_CoNi2Os
_cell_length_a 4.407
_cell_length_b 4.407
_cell_length_c 4.403
_cell_angle_alpha 80.55
_cell_angle_beta 80.55
_cell_angle_gamma 33.81
_space_group_name_H-M_alt 'P 1'
_space_group_IT_number 1
loop_
_space_group_symop_operation_xyz
'x,y,z'
loop_
_atom_site_label
_atom_site_fract_x
_atom_site_fract_y
_atom_site_fract_z
Ni1 0.999 0.999 0.000
Ni2 0.501 0.501 0.500
Os1 0.750 0.750 0.750
Co1 0.250 0.250 0.250


Number 1: density of states at the Fermi level 1.96 states/eV per cell, total magnetization 0.00 μB/atom. Number 2: density of states at the Fermi level 6.51 states/eV per cell, total magnetization 0.00 μB/atom. Number 3: density of states at the Fermi level 5.92 states/eV per cell, total magnetization 0.18 μB/atom.